Computed, not measured: a geometry-optimized Sr2Cr2Au structure at the PBE-GGA level of DFT.

The structure in extended XYZ format:
```
5
Lattice="-1.6940 1.6940 10.1196 1.6940 -1.6940 10.1196 1.6940 1.6940 -10.1196" Properties=species:S:1:pos:R:3 pbc="T T T"
Sr 0.0000 0.0000 2.1814
Sr 0.0000 0.0000 18.0577
Cr 1.6940 0.0000 5.0598
Cr 0.0000 1.6940 5.0598
Au 0.0000 0.0000 10.1196
```

Results
E_form	0.407	eV per atom
offset from the most stable computed form	0.0	meV/atom